1.
# BaH2Rh

Crystalline BaH2Rh at its relaxed geometry (PBE, Alexandria).

## Properties
As for the crystal system: trigonal. The calculation puts the total energy at -47.16 eV/cell.

Unit cell a=3.5819 b=3.5819 c=15.1868 alpha=90.00 beta=90.00 gamma=120.00
Space group R-3m (No. 166, hexagonal axes)
Inequivalent atoms, fractional coordinates:
Ba (0.0000, 0.0000, 0.0000) [3 per cell]
H (0.0000, 0.0000, 0.1943) [6 per cell]
Rh (0.0000, 0.0000, 0.5000) [3 per cell]



2.
# TbCo4Pt

Crystalline TbCo4Pt at its relaxed geometry (PBE, Alexandria).

## Properties
As for the crystal system: cubic. The energy relative to the elements comes out at -220.8 meV per atom. The calculation puts the total energy at -161.68 eV/cell.

Unit cell a=6.968 b=6.968 c=6.968 alpha=90.00 beta=90.00 gamma=90.00
Space group F-43m (No. 216)
Inequivalent atoms, fractional coordinates:
Tb (0.000, 0.000, 0.000) [4 per cell]
Co (0.124, 0.124, 0.376) [16 per cell]
Pt (0.250, 0.250, 0.750) [4 per cell]



In the order shown, the computed theoretical density values come out to 7.2; 11.6 Mg/m³.